Record 1
CrCo2Mo, optimized geometry, DFT PBE-GGA; distance to the lowest polymorph of the same formula = 128.9 meV per atom; formation enthalpy at 0 K = 16.0 kJ per mole of atoms; space-group type = P4mm; volume = 12.2 A^3/atom
1.0
-0.120 -2.842 0.953
1.505 0.768 2.479
-4.688 1.045 2.523
Co Mo Cr
2 1 1
direct
0.500 0.500 0.264
0.000 0.000 0.012
0.500 0.500 0.759
0.000 0.000 0.465

=====

Record 2
TiBS2, optimized geometry, DFT PBE-GGA; ΔE_f (raw) = -28.52 kJ/mol of atoms; space-group type = R-3m; volume = 15.4 A^3/atom
1.0
-3.732 3.490 4.645
-2.779 0.808 6.270
-0.744 3.362 5.986
Ti S B
1 2 1
direct
0.500 0.500 0.500
0.088 0.088 0.088
0.912 0.912 0.912
0.000 0.000 0.000

=====

Record 3
Cd2TcCl, optimized geometry, DFT PBE-GGA; distance to the lowest polymorph of the same formula = 220.1 meV per atom; ΔE_f (raw) = 32.84 kJ/mol of atoms; space-group type = Pmm2; volume = 19.4 A^3/atom
1.0
-4.017 1.300 -2.197
-1.690 -1.281 2.331
0.075 4.519 2.537
Cd Tc Cl
2 1 1
direct
0.500 0.126 0.279
0.000 0.125 0.950
0.500 0.625 0.771
0.000 0.625 0.501

=====

Record 4
PmPuRh2, optimized geometry, DFT PBE-GGA; distance to the lowest polymorph of the same formula = 20.8 meV per atom; formation enthalpy at 0 K = -50.9 kJ per mole of atoms; space-group type = P4/mmm; volume = 20.9 A^3/atom
1.0
-1.153 2.530 -2.102
-4.535 -0.613 1.751
0.901 3.314 3.495
Rh Pu Pm
2 1 1
direct
0.000 0.500 0.000
0.000 0.000 0.500
0.500 0.000 0.000
0.500 0.500 0.500

=====

Record 5
PWN3, optimized geometry, DFT PBE-GGA; ΔE_f (raw) = 104.15 kJ/mol of atoms; space-group type = Pm-3m; volume = 12.3 A^3/atom
1.0
-0.482 3.917 -0.041
-3.549 -0.419 1.675
1.658 0.242 3.573
N W P
3 1 1
direct
0.500 0.000 0.000
0.000 0.000 0.500
0.000 0.500 0.000
0.000 0.000 0.000
0.500 0.500 0.500

=====

Record 6
CeMgCd4, optimized geometry, DFT PBE-GGA; distance to the lowest polymorph of the same formula = 130.8 meV per atom; formation enthalpy at 0 K = 1.5 kJ per mole of atoms; space-group type = I4/mmm; volume = 25.8 A^3/atom
1.0
9.589 2.967 -2.054
-4.573 7.318 -5.522
1.854 -2.967 9.630
Cd Ce Mg
16 4 4
direct
0.785 0.110 0.676
0.215 0.890 0.324
0.000 0.103 0.440
0.337 0.440 0.440
0.434 0.110 0.324
0.566 0.890 0.676
0.215 0.324 0.890
0.663 0.103 0.103
0.785 0.676 0.110
0.663 0.560 0.560
0.000 0.440 0.103
0.566 0.676 0.890
0.000 0.560 0.897
0.337 0.897 0.897
0.000 0.897 0.560
0.434 0.324 0.110
0.000 0.716 0.716
0.000 0.284 0.284
0.500 0.250 0.750
0.500 0.750 0.250
0.742 0.242 0.500
0.258 0.500 0.758
0.742 0.500 0.242
0.258 0.758 0.500

=====

Record 7
LiSc5Co4, optimized geometry, DFT PBE-GGA; formation enthalpy at 0 K = -27.6 kJ per mole of atoms; space-group type = P4/mmm; volume = 16.6 A^3/atom
1.0
3.132 0.000 0.000
0.000 3.132 0.000
0.000 0.000 16.941
Sc Co Li
5 4 1
direct
0.500 0.500 0.317
0.500 0.500 0.500
0.500 0.500 0.683
0.500 0.500 0.135
0.500 0.500 0.865
0.000 0.000 0.408
0.000 0.000 0.220
0.000 0.000 0.592
0.000 0.000 0.780
0.000 0.000 0.000

=====

Record 8
Ba5Zn2Sn, optimized geometry, DFT PBE-GGA; formation enthalpy at 0 K = -26.8 kJ per mole of atoms; space-group type = I4/mcm; volume = 42.3 A^3/atom
1.0
-8.558 0.925 1.143
-1.406 -7.114 -4.775
5.424 -1.961 9.218
Ba Zn Sn
10 4 2
direct
0.828 0.966 0.294
0.172 0.034 0.706
0.000 0.000 0.000
0.328 0.828 0.294
0.672 0.172 0.706
0.500 0.500 0.000
0.034 0.534 0.706
0.466 0.328 0.294
0.966 0.466 0.294
0.534 0.672 0.706
0.105 0.395 0.000
0.605 0.105 0.000
0.895 0.605 0.000
0.395 0.895 0.000
0.250 0.250 0.500
0.750 0.750 0.500

=====

| no. | DOS at the Fermi energy (states/eV/f.u.) |
| --- | --- |
| 1 | 5.03 |
| 2 | 5.45 |
| 3 | 2.45 |
| 4 | 10.04 |
| 5 | 3.11 |
| 6 | 8.00 |
| 7 | 4.90 |
| 8 | 9.16 |